Compound: Nb3AgC
Source: Alexandria via LeMat-Bulk
Functional: GGA-PBE
Structure: optimized geometry

DOS at the Fermi energy ... 0.86 states/eV/f.u.
Volume ... 16.165 Å³/atom
Calculated formation energy ... -0.051 eV per atom
Symmetry ... Pm-3m (221)
Crystal system ... cubic

a = 4.3236 Å, b = 4.3236 Å, c = 4.3236 Å
α = 90.00°, β = 90.00°, γ = 90.00°
Last column: nearest neighbours and their distance in Å.
Atoms (fractional coordinates):
Nb 0.0000 0.0000 0.5000  2 C 2.16
Nb 0.0000 0.5000 0.0000  2 C 2.16
Nb 0.5000 0.0000 0.0000  2 C 2.16
Ag 0.5000 0.5000 0.5000  12 Nb 3.06
C 0.0000 0.0000 0.0000  6 Nb 2.16



Compound: Nb2AgC
Source: Alexandria via LeMat-Bulk
Functional: GGA-PBE
Structure: optimized geometry

DOS at the Fermi energy ... 3.35 states/eV/f.u.
Volume ... 15.884 Å³/atom
Calculated formation energy ... 0.386 eV per atom
Symmetry ... I-42d (122)
Crystal system ... tetragonal

a = 5.5051 Å, b = 5.5051 Å, c = 5.5051 Å
α = 106.20°, β = 106.20°, γ = 116.24°
Last column: nearest neighbours and their distance in Å.
Atoms (fractional coordinates):
Nb 0.0460 0.6250 0.9210  2 C 2.13
Nb 0.3750 0.2960 0.4210  2 C 2.13
Nb 0.7040 0.1250 0.0790  2 C 2.13
Nb 0.8750 0.9540 0.5790  2 C 2.13
Ag 0.2500 0.7500 0.5000  8 Nb 2.83-2.96, 2 C 2.91
Ag 0.5000 0.5000 0.0000  8 Nb 2.83-2.96, 2 C 2.91
C 0.0000 0.0000 0.0000  4 Nb 2.13
C 0.7500 0.2500 0.5000  4 Nb 2.13



Compound: NbAg3C
Source: Alexandria via LeMat-Bulk
Functional: GGA-PBE
Structure: optimized geometry

DOS at the Fermi energy ... 3.06 states/eV/f.u.
Volume ... 16.437 Å³/atom
Calculated formation energy ... 1.171 eV per atom
Symmetry ... Pm-3m (221)
Crystal system ... cubic

a = 4.3477 Å, b = 4.3477 Å, c = 4.3477 Å
α = 90.00°, β = 90.00°, γ = 90.00°
Last column: nearest neighbours and their distance in Å.
Atoms (fractional coordinates):
Nb 0.0000 0.0000 0.0000  12 Ag 3.07
Ag 0.0000 0.5000 0.5000  2 C 2.17
Ag 0.5000 0.0000 0.5000  2 C 2.17
Ag 0.5000 0.5000 0.0000  2 C 2.17
C 0.5000 0.5000 0.5000  6 Ag 2.17



Compound: NbAgC2
Source: Alexandria via LeMat-Bulk
Functional: GGA-PBE
Structure: optimized geometry

DOS at the Fermi energy ... 1.92 states/eV/f.u.
Volume ... 14.981 Å³/atom
Calculated formation energy ... 1.049 eV per atom
Symmetry ... I-42d (122)
Crystal system ... tetragonal

a = 5.9842 Å, b = 5.9842 Å, c = 5.9842 Å
α = 130.87°, β = 130.87°, γ = 72.03°
Last column: nearest neighbours and their distance in Å.
Atoms (fractional coordinates):
Nb 0.0000 0.0000 0.0000  4 C 2.06
Nb 0.7500 0.2500 0.5000  4 C 2.06
Ag 0.2500 0.7500 0.5000  4 C 2.22
Ag 0.5000 0.5000 0.0000  4 C 2.22
C 0.0974 0.6250 0.9724  2 Nb 2.06, 2 Ag 2.22
C 0.3750 0.3474 0.4724  2 Nb 2.06, 2 Ag 2.22
C 0.6526 0.1250 0.0276  2 Nb 2.06, 2 Ag 2.22
C 0.8750 0.9026 0.5276  2 Nb 2.06, 2 Ag 2.22



Compound: Nb2AgPbC
Source: Alexandria via LeMat-Bulk
Functional: GGA-PBE
Structure: optimized geometry

DOS at the Fermi energy ... 3.72 states/eV/f.u.
Volume ... 17.369 Å³/atom
Calculated formation energy ... 0.303 eV per atom
Symmetry ... P4/mmm (123)
Crystal system ... tetragonal

a = 4.3861 Å, b = 4.3861 Å, c = 4.5142 Å
α = 90.00°, β = 90.00°, γ = 90.00°
Last column: nearest neighbours and their distance in Å.
Atoms (fractional coordinates):
Nb 0.0000 0.5000 0.0000  2 C 2.19
Nb 0.5000 0.0000 0.0000  2 C 2.19
Ag 0.0000 0.0000 0.5000  2 C 2.26
Pb 0.5000 0.5000 0.5000  4 Ag 3.10, 8 Nb 3.15
C 0.0000 0.0000 0.0000  4 Nb 2.19, 2 Ag 2.26



Compound: NbAg2RuC
Source: Alexandria via LeMat-Bulk
Functional: GGA-PBE
Structure: optimized geometry

DOS at the Fermi energy ... 5.95 states/eV/f.u.
Volume ... 19.029 Å³/atom
Calculated formation energy ... 1.484 eV per atom
Symmetry ... P4/mmm (123)
Crystal system ... tetragonal

a = 5.0957 Å, b = 5.0957 Å, c = 3.6641 Å
α = 90.00°, β = 90.00°, γ = 90.00°
Last column: nearest neighbours and their distance in Å.
Atoms (fractional coordinates):
Nb 0.0000 0.0000 0.0000  8 Ag 3.14
Ag 0.0000 0.5000 0.5000  2 Ru 2.55
Ag 0.5000 0.0000 0.5000  2 Ru 2.55
Ru 0.5000 0.5000 0.5000  2 C 1.83
C 0.5000 0.5000 0.0000  2 Ru 1.83



Compound: ScNbAgC2
Source: Alexandria via LeMat-Bulk
Functional: GGA-PBE
Structure: optimized geometry

DOS at the Fermi energy ... 3.32 states/eV/f.u.
Volume ... 17.952 Å³/atom
Calculated formation energy ... 2.268 eV per atom
Symmetry ... P4/mmm (123)
Crystal system ... tetragonal

a = 4.2521 Å, b = 4.2521 Å, c = 4.9646 Å
α = 90.00°, β = 90.00°, γ = 90.00°
Last column: nearest neighbours and their distance in Å.
Atoms (fractional coordinates):
Sc 0.0000 0.0000 0.0000  4 C 2.13
Nb 0.0000 0.0000 0.5000  2 Sc 2.48
Ag 0.5000 0.5000 0.5000  4 Nb 3.01, 8 C 3.27
C 0.0000 0.5000 0.0000  2 Sc 2.13
C 0.5000 0.0000 0.0000  2 Sc 2.13



Compound: NbAgSnC2
Source: Alexandria via LeMat-Bulk
Functional: GGA-PBE
Structure: optimized geometry

DOS at the Fermi energy ... 5.27 states/eV/f.u.
Volume ... 19.853 Å³/atom
Calculated formation energy ... 2.600 eV per atom
Symmetry ... P4/mmm (123)
Crystal system ... tetragonal

a = 4.2463 Å, b = 4.2463 Å, c = 5.5052 Å
α = 90.00°, β = 90.00°, γ = 90.00°
Last column: nearest neighbours and their distance in Å.
Atoms (fractional coordinates):
Nb 0.0000 0.0000 0.0000  2 Sn 2.75, 4 Ag 3.00
Ag 0.5000 0.5000 0.0000  4 Nb 3.00
Sn 0.0000 0.0000 0.5000  4 C 2.12
C 0.0000 0.5000 0.5000  2 Sn 2.12
C 0.5000 0.0000 0.5000  2 Sn 2.12



Compound: Ti2NbAgC
Source: Alexandria via LeMat-Bulk
Functional: GGA-PBE
Structure: optimized geometry

DOS at the Fermi energy ... 4.41 states/eV/f.u.
Volume ... 15.344 Å³/atom
Calculated formation energy ... -0.255 eV per atom
Symmetry ... P4/mmm (123)
Crystal system ... tetragonal

a = 4.2151 Å, b = 4.2151 Å, c = 4.3182 Å
α = 90.00°, β = 90.00°, γ = 90.00°
Last column: nearest neighbours and their distance in Å.
Atoms (fractional coordinates):
Ti 0.0000 0.5000 0.0000  2 C 2.11
Ti 0.5000 0.0000 0.0000  2 C 2.11
Nb 0.0000 0.0000 0.5000  2 C 2.16
Ag 0.5000 0.5000 0.5000  4 Nb 2.98, 8 Ti 3.02
C 0.0000 0.0000 0.0000  4 Ti 2.11, 2 Nb 2.16



Compound: Zr2NbAgC
Source: Alexandria via LeMat-Bulk
Functional: GGA-PBE
Structure: optimized geometry

DOS at the Fermi energy ... 3.34 states/eV/f.u.
Volume ... 17.989 Å³/atom
Calculated formation energy ... -0.232 eV per atom
Symmetry ... P4/mmm (123)
Crystal system ... tetragonal

a = 4.5739 Å, b = 4.5739 Å, c = 4.2994 Å
α = 90.00°, β = 90.00°, γ = 90.00°
Last column: nearest neighbours and their distance in Å.
Atoms (fractional coordinates):
Zr 0.0000 0.5000 0.0000  2 C 2.29
Zr 0.5000 0.0000 0.0000  2 C 2.29
Nb 0.0000 0.0000 0.5000  2 C 2.15
Ag 0.5000 0.5000 0.5000  8 Zr 3.14, 4 Nb 3.23
C 0.0000 0.0000 0.0000  2 Nb 2.15, 4 Zr 2.29



Compound: Nd4Ag2C
Source: Alexandria via LeMat-Bulk
Functional: GGA-PBE
Structure: optimized geometry

DOS at the Fermi energy ... 8.53 states/eV/f.u.
Volume ... 27.996 Å³/atom
Calculated formation energy ... -0.076 eV per atom
Symmetry ... I4/mmm (139)
Crystal system ... tetragonal

a = 8.2947 Å, b = 8.2947 Å, c = 8.2947 Å
α = 144.01°, β = 144.01°, γ = 51.81°
Last column: nearest neighbours and their distance in Å.
Atoms (fractional coordinates):
Nd 0.0000 0.5000 0.5000  2 C 2.56
Nd 0.1709 0.1709 0.0000  1 C 2.55
Nd 0.5000 0.0000 0.5000  2 C 2.56
Nd 0.8291 0.8291 0.0000  1 C 2.55
Ag 0.3723 0.3723 0.0000  5 Nd 3.01-3.19
Ag 0.6277 0.6277 0.0000  5 Nd 3.01-3.19
C 0.0000 0.0000 0.0000  6 Nd 2.55-2.56



Compound: Nd3AgC
Source: Alexandria via LeMat-Bulk
Functional: GGA-PBE
Structure: optimized geometry

DOS at the Fermi energy ... 5.52 states/eV/f.u.
Volume ... 26.513 Å³/atom
Calculated formation energy ... -0.036 eV per atom
Symmetry ... Pm-3m (221)
Crystal system ... cubic

a = 5.0989 Å, b = 5.0989 Å, c = 5.0989 Å
α = 90.00°, β = 90.00°, γ = 90.00°
Last column: nearest neighbours and their distance in Å.
Atoms (fractional coordinates):
Nd 0.0000 0.0000 0.5000  2 C 2.55
Nd 0.0000 0.5000 0.0000  2 C 2.55
Nd 0.5000 0.0000 0.0000  2 C 2.55
Ag 0.5000 0.5000 0.5000  12 Nd 3.61
C 0.0000 0.0000 0.0000  6 Nd 2.55